Material: ErAu5
Method: DFT, PBE-GGA
State: relaxed Values from VASP.

```
&SYSTEM
  ibrav = 0, nat = 12, ntyp = 2
/
ATOMIC_SPECIES
Er 167.26 Er.upf
Au 196.97 Au.upf
CELL_PARAMETERS angstrom
5.021 0.000 0.000
0.000 8.894 0.000
-0.001 0.000 5.178
ATOMIC_POSITIONS angstrom
Er 1.251 2.223 2.106
Er 3.768 6.670 3.071
Au 1.252 0.714 4.704
Au 1.252 3.733 4.704
Au 1.257 5.213 2.140
Au 1.257 8.128 2.140
Au 1.259 6.670 4.747
Au 3.761 2.223 0.431
Au 3.763 0.766 3.038
Au 3.763 3.681 3.038
Au 3.768 5.161 0.474
Au 3.768 8.180 0.474
```

Calculated values
total energy: -3.953 eV/atom
E_form: -462 meV per atom
symmetry: P2_1/m
N(E_F): 2.7 states/eV/f.u.

=====

Material: CsLi3I3
Method: DFT, PBE-GGA
State: relaxed Values from VASP.

```
&SYSTEM
  ibrav = 0, nat = 14, ntyp = 3
/
ATOMIC_SPECIES
Cs 132.91 Cs.upf
Li 6.94 Li.upf
I 126.90 I.upf
CELL_PARAMETERS angstrom
8.202 0.000 0.000
0.000 8.202 0.000
0.000 0.000 8.202
ATOMIC_POSITIONS angstrom
Cs 0.000 0.000 0.000
Cs 4.101 4.101 4.101
Li 0.000 2.051 4.101
Li 0.000 6.152 4.101
Li 2.051 4.101 0.000
Li 4.101 0.000 2.051
Li 4.101 0.000 6.152
Li 6.152 4.101 0.000
I 0.000 4.101 2.051
I 0.000 4.101 6.152
I 2.051 0.000 4.101
I 4.101 2.051 0.000
I 4.101 6.152 0.000
I 6.152 0.000 4.101
```

Calculated values
total energy: -2.550 eV/atom
symmetry: Pm-3n
ΔE_f (raw): -943 meV per atom
N(E_F): 2.8 states/eV/f.u.

=====

Material: LiYSi2Au5
Method: DFT, PBE-GGA
State: relaxed Values from VASP.

```
&SYSTEM
  ibrav = 0, nat = 9, ntyp = 4
/
ATOMIC_SPECIES
Li 6.94 Li.upf
Y 88.91 Y.upf
Si 28.09 Si.upf
Au 196.97 Au.upf
CELL_PARAMETERS angstrom
4.388 0.000 0.000
0.000 4.388 0.000
0.000 0.000 9.814
ATOMIC_POSITIONS angstrom
Li 0.000 0.000 0.000
Y 0.000 0.000 4.907
Si 2.194 2.194 2.558
Si 2.194 2.194 7.256
Au 0.000 2.194 1.514
Au 0.000 2.194 8.301
Au 2.194 0.000 1.514
Au 2.194 0.000 8.301
Au 2.194 2.194 4.907
```

Calculated values
total energy: -4.207 eV/atom
symmetry: P4/mmm
ΔE_f (raw): -250 meV per atom
N(E_F): 3.5 states/eV/f.u.

=====

Material: KAlBiO4
Method: DFT, PBE-GGA
State: relaxed Values from VASP.

```
&SYSTEM
  ibrav = 0, nat = 14, ntyp = 4
/
ATOMIC_SPECIES
K 39.10 K.upf
Al 26.98 Al.upf
Bi 208.98 Bi.upf
O 16.00 O.upf
CELL_PARAMETERS angstrom
5.789 0.000 0.000
0.000 5.985 0.000
-2.626 0.000 7.007
ATOMIC_POSITIONS angstrom
K -0.151 1.496 3.104
K 3.314 4.489 3.903
Al 0.974 4.489 1.094
Al 2.188 1.496 5.912
Bi -0.845 1.496 6.811
Bi 4.007 4.489 0.196
O -2.348 4.489 6.474
O -0.512 4.489 2.074
O 2.188 3.161 1.267
O 2.188 5.816 1.267
O 0.975 0.169 5.740
O 0.975 2.823 5.740
O 3.674 1.496 4.933
O 5.510 1.496 0.533
```

Calculated values
total energy: -5.831 eV/atom
symmetry: P2_1/m
ΔE_f (raw): -1752 meV per atom
N(E_F): 3.4 states/eV/f.u.

=====

Material: LiMgHg
Method: DFT, PBE-GGA
State: relaxed Values from VASP.

```
&SYSTEM
  ibrav = 0, nat = 6, ntyp = 3
/
ATOMIC_SPECIES
Li 6.94 Li.upf
Mg 24.30 Mg.upf
Hg 200.59 Hg.upf
CELL_PARAMETERS angstrom
-1.685 1.685 11.686
1.685 -1.685 11.686
1.685 1.685 -11.686
ATOMIC_POSITIONS angstrom
Li 0.000 0.000 1.520
Li 0.000 0.000 21.851
Mg 0.000 0.000 4.788
Mg 0.000 0.000 18.584
Hg 0.000 0.000 8.717
Hg 0.000 0.000 14.654
```

Calculated values
total energy: -1.464 eV/atom
E_form: -194 meV per atom
symmetry: I4/mmm
N(E_F): 0.7 states/eV/f.u.

=====

Material: Ti2GePt2
Method: DFT, PBE-GGA
State: relaxed Values from VASP.

```
&SYSTEM
  ibrav = 0, nat = 10, ntyp = 3
/
ATOMIC_SPECIES
Ti 47.87 Ti.upf
Ge 72.64 Ge.upf
Pt 195.08 Pt.upf
CELL_PARAMETERS angstrom
7.656 0.000 0.000
0.000 7.656 0.000
0.000 0.000 2.892
ATOMIC_POSITIONS angstrom
Ti 1.256 2.572 0.000
Ti 2.572 6.400 0.000
Ti 5.084 1.256 0.000
Ti 6.400 5.084 0.000
Ge 0.000 0.000 0.000
Ge 3.828 3.828 0.000
Pt 1.005 4.833 1.446
Pt 2.823 1.005 1.446
Pt 4.833 6.651 1.446
Pt 6.651 2.823 1.446
```

Calculated values
total energy: -7.074 eV/atom
E_form: -576 meV per atom
symmetry: P4/mbm
N(E_F): 3.8 states/eV/f.u.

=====

Material: Ba2Ga3AgSn4
Method: DFT, PBE-GGA
State: relaxed Values from VASP.

```
&SYSTEM
  ibrav = 0, nat = 10, ntyp = 4
/
ATOMIC_SPECIES
Ba 137.33 Ba.upf
Ga 69.72 Ga.upf
Ag 107.87 Ag.upf
Sn 118.71 Sn.upf
CELL_PARAMETERS angstrom
5.019 0.000 0.000
0.000 5.019 0.000
0.000 0.000 11.055
ATOMIC_POSITIONS angstrom
Ba 0.000 2.510 2.656
Ba 2.510 0.000 8.399
Ga 0.000 0.000 0.000
Ga 0.000 2.510 6.943
Ga 2.510 0.000 4.112
Ag 2.510 2.510 0.000
Sn 0.000 0.000 5.527
Sn 0.000 2.510 9.668
Sn 2.510 0.000 1.387
Sn 2.510 2.510 5.527
```

Calculated values
total energy: -3.566 eV/atom
E_form: -388 meV per atom
symmetry: P-4m2
N(E_F): 3.8 states/eV/f.u.

=====

Material: KLi3Hg4Cl12
Method: DFT, PBE-GGA
State: relaxed Values from VASP.

```
&SYSTEM
  ibrav = 0, nat = 20, ntyp = 4
/
ATOMIC_SPECIES
K 39.10 K.upf
Li 6.94 Li.upf
Hg 200.59 Hg.upf
Cl 35.45 Cl.upf
CELL_PARAMETERS angstrom
7.182 4.146 3.230
-7.182 4.146 3.230
0.000 -8.293 3.230
ATOMIC_POSITIONS angstrom
K 0.000 0.000 0.000
Li -4.054 -1.271 3.230
Li -4.054 1.271 6.460
Li 0.926 4.146 3.230
Hg -3.133 -5.426 4.845
Hg 0.000 0.000 4.845
Hg -3.133 5.426 4.845
Hg 6.266 0.000 4.845
Cl -4.433 -3.338 4.784
Cl -5.644 0.000 4.845
Cl -0.674 -5.508 4.907
Cl -2.452 0.000 4.845
Cl -4.433 3.338 4.907
Cl 2.822 -4.888 4.845
Cl 1.226 -2.123 4.845
Cl -0.674 5.508 4.784
Cl 1.226 2.123 4.845
Cl 5.107 -2.171 4.784
Cl 2.822 4.888 4.845
Cl 5.107 2.171 4.907
```

Calculated values
total energy: -2.552 eV/atom
symmetry: R32
ΔE_f (raw): -1042 meV per atom
N(E_F): 0.0 states/eV/f.u.

=====

Material: Pm2HoAg2
Method: DFT, PBE-GGA
State: relaxed Values from VASP.

```
&SYSTEM
  ibrav = 0, nat = 10, ntyp = 3
/
ATOMIC_SPECIES
Pm 145.00 Pm.upf
Ho 164.93 Ho.upf
Ag 107.87 Ag.upf
CELL_PARAMETERS angstrom
5.807 0.000 0.000
0.000 4.721 0.000
-1.332 0.000 10.777
ATOMIC_POSITIONS angstrom
Pm 0.120 1.180 4.070
Pm 1.417 1.180 0.508
Pm 3.058 3.540 10.269
Pm 4.355 3.540 6.706
Ho 1.432 1.180 7.709
Ho 3.043 3.540 3.067
Ag 0.202 3.540 9.235
Ag 1.441 3.540 5.727
Ag 3.034 1.180 5.050
Ag 4.273 1.180 1.542
```

Calculated values
total energy: -4.035 eV/atom
E_form: -79 meV per atom
symmetry: P2_1/m
N(E_F): 5.8 states/eV/f.u.

=====

Material: Er2Al8Pd
Method: DFT, PBE-GGA
State: relaxed Values from VASP.

```
&SYSTEM
  ibrav = 0, nat = 11, ntyp = 3
/
ATOMIC_SPECIES
Er 167.26 Er.upf
Al 26.98 Al.upf
Pd 106.42 Pd.upf
CELL_PARAMETERS angstrom
4.276 0.000 0.000
0.000 4.276 0.000
0.000 0.000 11.137
ATOMIC_POSITIONS angstrom
Er 0.000 0.000 2.092
Er 0.000 0.000 9.045
Al 0.000 2.138 0.000
Al 0.000 2.138 4.157
Al 0.000 2.138 6.981
Al 2.138 0.000 0.000
Al 2.138 0.000 4.157
Al 2.138 0.000 6.981
Al 2.138 2.138 2.164
Al 2.138 2.138 8.973
Pd 0.000 0.000 5.569
```

Calculated values
total energy: -4.510 eV/atom
E_form: -486 meV per atom
symmetry: P4/mmm
N(E_F): 2.2 states/eV/f.u.

=====

Material: VTcMo2
Method: DFT, PBE-GGA
State: relaxed Values from VASP.

```
&SYSTEM
  ibrav = 0, nat = 8, ntyp = 3
/
ATOMIC_SPECIES
V 50.94 V.upf
Tc 98.00 Tc.upf
Mo 95.94 Mo.upf
CELL_PARAMETERS angstrom
-3.518 3.518 2.593
3.518 -3.518 2.593
3.518 3.518 -2.593
ATOMIC_POSITIONS angstrom
V 0.000 0.000 0.000
V 0.000 3.518 1.297
Tc 3.518 0.000 1.297
Tc 0.000 0.000 2.593
Mo 1.759 1.795 -0.648
Mo 5.242 1.759 0.648
Mo 1.759 1.724 1.945
Mo -1.724 1.759 3.241
```

Calculated values
total energy: -9.633 eV/atom
E_form: 654 meV per atom
symmetry: I-42d
N(E_F): 4.2 states/eV/f.u.

=====

Material: Pm5Pr3Pb12
Method: DFT, PBE-GGA
State: relaxed Values from VASP.

```
&SYSTEM
  ibrav = 0, nat = 80, ntyp = 3
/
ATOMIC_SPECIES
Pm 145.00 Pm.upf
Pr 140.91 Pr.upf
Pb 207.20 Pb.upf
CELL_PARAMETERS angstrom
-9.267 9.267 9.267
9.267 -9.267 9.267
9.267 9.267 -9.267
ATOMIC_POSITIONS angstrom
Pm 0.000 0.000 0.000
Pm 4.633 4.633 -4.633
Pm 4.633 -4.633 4.633
Pm 9.267 0.000 0.000
Pm 13.900 2.317 0.000
Pm 9.267 -4.633 6.950
Pm 6.950 9.267 -4.633
Pm 6.950 0.000 4.633
Pm 4.633 6.950 0.000
Pm 9.267 4.633 2.317
Pm -4.633 4.633 4.633
Pm 0.000 9.267 0.000
Pm 0.000 0.000 9.267
Pm 4.633 4.633 4.633
Pm 0.000 4.633 6.950
Pm 4.633 2.317 9.267
Pm 2.317 9.267 4.633
Pm 2.317 0.000 13.900
Pm 0.000 13.900 2.317
Pm -4.633 6.950 9.267
Pr 4.633 2.317 0.000
Pr 9.267 4.633 -2.317
Pr 2.317 0.000 4.633
Pr 11.583 0.000 4.633
Pr 0.000 4.633 2.317
Pr 4.633 -2.317 9.267
Pr 4.633 11.583 0.000
Pr 9.267 4.633 6.950
Pr -2.317 9.267 4.633
Pr 6.950 9.267 4.633
Pr 0.000 4.633 11.583
Pr 4.633 6.950 9.267
Pb 2.884 -0.086 1.435
Pb 11.016 6.068 -4.720
Pb 9.180 -1.435 2.884
Pb 13.986 -1.749 3.198
Pb 12.151 0.086 1.435
Pb 11.016 -3.198 4.720
Pb 1.435 2.884 -0.086
Pb 12.465 4.547 -1.749
Pb 6.068 4.720 -1.749
Pb 7.831 2.884 0.086
Pb -0.086 1.435 2.884
Pb 4.720 -1.749 6.068
Pb 9.180 7.831 -2.884
Pb 4.720 1.749 3.198
Pb 7.831 -2.884 9.180
Pb 6.068 -4.720 11.016
Pb 3.198 4.720 1.749
Pb 10.702 6.383 0.086
Pb 2.884 9.180 -1.435
Pb 11.016 3.198 4.547
Pb 4.720 11.016 -3.198
Pb 9.180 1.435 6.383
Pb 1.749 3.198 4.720
Pb 2.884 0.086 7.831
Pb 6.383 9.180 1.435
Pb 7.517 6.068 4.547
Pb 0.086 7.831 2.884
Pb 4.547 -1.749 12.465
Pb -1.749 6.068 4.720
Pb 6.383 0.086 10.702
Pb -1.435 2.884 9.180
Pb 6.068 4.547 7.517
Pb 3.198 13.986 -1.749
Pb 1.435 12.151 0.086
Pb 4.547 7.517 6.068
Pb 0.086 1.435 12.151
Pb 4.547 11.016 3.198
Pb 9.353 7.831 6.383
Pb 1.435 6.383 9.180
Pb 3.198 4.547 11.016
Pb -3.198 4.720 11.016
Pb 7.831 6.383 9.353
Pb -1.749 12.465 4.547
Pb -2.884 9.180 7.831
Pb -4.720 11.016 6.068
Pb 0.086 10.702 6.383
Pb -1.749 3.198 13.986
Pb 6.383 9.353 7.831
```

Calculated values
total energy: -4.100 eV/atom
E_form: 29 meV per atom
symmetry: Ia-3d
N(E_F): 10.8 states/eV/f.u.